VASP calculation (PBE-GGA) on crystalline LaTbNd6Sm2 at its relaxed geometry.

The structure belongs to space group C2/c (No. 15); the cell edges are 9.262, 15.479 and 9.946 Å and the angles 90.00°, 98.90° and 90.00°. The inequivalent atoms are La at (0.000, 0.095, 0.250), Tb at (0.000, 0.476, 0.750), Nd at (0.065, 0.319, 0.445), Nd at (0.102, 0.104, 0.622), Nd at (0.202, 0.275, 0.817) and Sm at (0.240, 0.450, 0.043).

The value obtained for the formation energy is 0.11 eV per atom.